Entry from Alexandria: an optimized crystal structure of NaAg2Bi2 (GGA-PBEsol).

Results
Fermi-level density of states = 2.1 states/eV/f.u.
Distance to the lowest polymorph of the same formula = 0.000 eV per atom
Calculated formation energy = -0.036 eV per atom

Lattice parameters (Å, degrees): 3.4545 8.3883 8.3883 90.00 90.00 90.00
Element x y z (fractional)
Na 0.0000 0.0000 0.0000
Na 0.0000 0.5000 0.5000
Bi 0.5000 0.1746 0.6746
Bi 0.5000 0.6746 0.8254
Bi 0.5000 0.8254 0.3254
Bi 0.5000 0.3254 0.1746
Ag 0.0000 0.3790 0.8790
Ag 0.0000 0.8790 0.6210
Ag 0.0000 0.6210 0.1210
Ag 0.0000 0.1210 0.3790